# NpMnCl5 | Alexandria | PBE-GGA | relaxed
# - SG = C2/c (15)
# - magnetic moment (μB per cell) = 18.0
# - formation energy from raw total energies (eV/atom) = -1.414
data_NpMnCl5
_symmetry_space_group_name_H-M 'P 1'
_symmetry_Int_Tables_number 1
_symmetry_space_group_name_Hall 'P 1'
_cell_length_a 7.3547
_cell_length_b 7.3553
_cell_length_c 10.5653
_cell_angle_alpha 113.30
_cell_angle_beta 113.32
_cell_angle_gamma 85.64
loop_
_atom_site_label
_atom_site_type_symbol
_atom_site_fract_x
_atom_site_fract_y
_atom_site_fract_z
_atom_site_occupancy
Mn1 Mn 0.8898 0.6104 0.2501 1
Mn2 Mn 0.1102 0.3896 0.7499 1
Cl1 Cl 0.5708 0.9297 0.7502 1
Cl2 Cl 0.8061 0.7787 0.4582 1
Cl3 Cl 0.2380 0.6634 0.3325 1
Cl4 Cl 0.4292 0.0703 0.2498 1
Cl5 Cl 0.8364 0.2622 0.1678 1
Cl6 Cl 0.1939 0.2213 0.5418 1
Cl7 Cl 0.7216 0.6941 0.0419 1
Cl8 Cl 0.7620 0.3366 0.6675 1
Cl9 Cl 0.1636 0.7378 0.8322 1
Cl10 Cl 0.2784 0.3059 0.9581 1
Np1 Np 0.5000 0.0000 0.5000 1
Np2 Np 0.5000 0.0000 0.0000 1